No. 1
The following is a GGA-PBEsol calculation of an optimized crystal structure of TcWSe2, from Alexandria via LeMat-Bulk.

Cell lengths 4.829, 4.829, 4.829 Å; angles 131.12, 131.12, 71.62 degrees
Atoms (fractional coordinates):
Tc1 0.000 0.000 0.000
W1 0.750 0.250 0.500
Se1 0.250 0.750 0.500
Se2 0.500 0.500 0.000

Properties
Symmetry: I-4m2 (119)
Energy relative to the lowest polymorph listed for this composition: 0 meV per atom
DOS at the Fermi energy: 2.27 states/eV/cell
Formation energy (no corrections): 551 meV/atom
Calculated density: 11.7 g cm⁻³
Uncorrected energy: -7.642 eV per atom

=====

No. 2
The following is a GGA-PBEsol calculation of an optimized crystal structure of Y2TcSe, from Alexandria via LeMat-Bulk.

Cell lengths 3.698, 4.335, 5.654 Å; angles 90.00, 90.00, 90.00 degrees
Atoms (fractional coordinates):
Y1 0.000 0.000 0.000
Y2 0.500 0.500 0.435
Tc1 0.000 0.000 0.452
Se1 0.500 0.500 0.933

Properties
Symmetry: Pmm2 (25)
DOS at the Fermi energy: 3.67 states/eV/cell
Formation energy (no corrections): -472 meV/atom
Calculated density: 6.5 g cm⁻³
Uncorrected energy: -7.663 eV per atom

=====

No. 3
The following is a GGA-PBEsol calculation of an optimized crystal structure of YTc2Se, from Alexandria via LeMat-Bulk.

Cell lengths 4.585, 4.585, 4.585 Å; angles 60.00, 60.00, 60.00 degrees
Atoms (fractional coordinates):
Y1 0.000 0.000 0.000
Tc1 0.250 0.250 0.250
Tc2 0.500 0.500 0.500
Se1 0.750 0.750 0.750

Properties
Symmetry: F-43m (216)
DOS at the Fermi energy: 5.84 states/eV/cell
Formation energy (no corrections): 236 meV/atom
Calculated density: 8.9 g cm⁻³
Uncorrected energy: -8.065 eV per atom

=====

No. 4
The following is a GGA-PBEsol calculation of an optimized crystal structure of YTc2Se, from Alexandria via LeMat-Bulk.

Cell lengths 3.382, 4.879, 4.395 Å; angles 90.00, 91.87, 90.00 degrees
Atoms (fractional coordinates):
Y1 0.000 0.000 0.000
Tc1 0.343 0.500 0.748
Tc2 0.657 0.500 0.252
Se1 0.500 0.000 0.500

Properties
Symmetry: P2/m (10)
DOS at the Fermi energy: 3.52 states/eV/cell
Formation energy (no corrections): -30 meV/atom
Calculated density: 8.3 g cm⁻³
Uncorrected energy: -8.331 eV per atom

=====

No. 5
The following is a GGA-PBEsol calculation of an optimized crystal structure of YTc2Se, from Alexandria via LeMat-Bulk.

Cell lengths 3.468, 4.045, 4.933 Å; angles 90.00, 90.00, 90.00 degrees
Atoms (fractional coordinates):
Y1 0.000 0.000 0.000
Tc1 0.000 0.500 0.500
Tc2 0.500 0.000 0.500
Se1 0.500 0.500 0.000

Properties
Symmetry: Pmmm (47)
DOS at the Fermi energy: 2.67 states/eV/cell
Formation energy (no corrections): -13 meV/atom
Calculated density: 8.7 g cm⁻³
Uncorrected energy: -8.315 eV per atom

=====

No. 6
The following is a GGA-PBEsol calculation of an optimized crystal structure of YTc2Se, from Alexandria via LeMat-Bulk.

Cell lengths 5.652, 5.652, 5.652 Å; angles 141.42, 141.42, 55.71 degrees
Atoms (fractional coordinates):
Y1 0.000 0.000 0.000
Tc1 0.250 0.750 0.500
Tc2 0.750 0.250 0.500
Se1 0.500 0.500 0.000

Properties
Symmetry: I4/mmm (139)
DOS at the Fermi energy: 2.63 states/eV/cell
Formation energy (no corrections): -31 meV/atom
Calculated density: 8.7 g cm⁻³
Uncorrected energy: -8.333 eV per atom

=====

No. 7
The following is a GGA-PBEsol calculation of an optimized crystal structure of YTc2Se, from Alexandria via LeMat-Bulk.

Cell lengths 3.162, 3.162, 6.762 Å; angles 90.00, 90.00, 90.00 degrees
Atoms (fractional coordinates):
Y1 0.000 0.000 0.000
Tc1 0.500 0.500 0.291
Tc2 0.500 0.500 0.709
Se1 0.000 0.000 0.500

Properties
Symmetry: P4/mmm (123)
DOS at the Fermi energy: 5.08 states/eV/cell
Formation energy (no corrections): 199 meV/atom
Calculated density: 8.9 g cm⁻³
Uncorrected energy: -8.102 eV per atom

=====

No. 8
The following is a GGA-PBEsol calculation of an optimized crystal structure of ZnTcSe, from Alexandria via LeMat-Bulk.

Cell lengths 4.227, 4.227, 4.227 Å; angles 60.00, 60.00, 60.00 degrees
Atoms (fractional coordinates):
Zn1 0.000 0.000 0.000
Tc1 0.750 0.750 0.750
Se1 0.250 0.250 0.250

Properties
Symmetry: F-43m (216)
Energy relative to the lowest polymorph listed for this composition: 1027 meV per atom
DOS at the Fermi energy: 4.78 states/eV/cell
Formation energy (no corrections): 960 meV/atom
Calculated density: 7.5 g cm⁻³
Uncorrected energy: -4.606 eV per atom

=====

No. 9
The following is a GGA-PBEsol calculation of an optimized crystal structure of ZnTcSe, from Alexandria via LeMat-Bulk.

Cell lengths 3.045, 3.045, 6.066 Å; angles 90.00, 90.00, 120.00 degrees
Atoms (fractional coordinates):
Zn1 0.000 0.000 0.000
Tc1 0.333 0.667 0.326
Se1 0.667 0.333 0.600

Properties
Symmetry: P3m1 (156)
Energy relative to the lowest polymorph listed for this composition: 0 meV per atom
DOS at the Fermi energy: 1.58 states/eV/cell
Formation energy (no corrections): -67 meV/atom
Calculated density: 8.3 g cm⁻³
Uncorrected energy: -5.634 eV per atom

=====

No. 10
The following is a GGA-PBEsol calculation of an optimized crystal structure of ZrTc2Se, from Alexandria via LeMat-Bulk.

Cell lengths 5.163, 5.163, 5.163 Å; angles 137.41, 137.41, 61.80 degrees
Atoms (fractional coordinates):
Zr1 0.000 0.000 0.000
Tc1 0.250 0.750 0.500
Tc2 0.500 0.500 0.000
Se1 0.750 0.250 0.500

Properties
Symmetry: I-4m2 (119)
DOS at the Fermi energy: 3.38 states/eV/cell
Formation energy (no corrections): -22 meV/atom
Calculated density: 9.8 g cm⁻³
Uncorrected energy: -8.890 eV per atom

=====

No. 11
The following is a GGA-PBEsol calculation of an optimized crystal structure of ZrTc2Se, from Alexandria via LeMat-Bulk.

Cell lengths 8.122, 8.122, 8.122 Å; angles 22.05, 22.05, 22.05 degrees
Atoms (fractional coordinates):
Zr1 0.000 0.000 0.000
Tc1 0.245 0.245 0.245
Tc2 0.755 0.755 0.755
Se1 0.500 0.500 0.500

Properties
Symmetry: R-3m (166)
DOS at the Fermi energy: 3.73 states/eV/cell
Formation energy (no corrections): 156 meV/atom
Calculated density: 9.2 g cm⁻³
Uncorrected energy: -8.712 eV per atom

=====

No. 12
The following is a GGA-PBEsol calculation of an optimized crystal structure of ZrTc3Se, from Alexandria via LeMat-Bulk.

Cell lengths 4.695, 4.695, 4.695 Å; angles 90.00, 90.00, 90.00 degrees
Atoms (fractional coordinates):
Zr1 0.000 0.000 0.000
Tc1 0.000 0.000 0.500
Tc2 0.000 0.500 0.000
Tc3 0.500 0.000 0.000
Se1 0.500 0.500 0.500

Properties
Symmetry: Pm-3m (221)
DOS at the Fermi energy: 7.39 states/eV/cell
Formation energy (no corrections): 2140 meV/atom
Calculated density: 7.4 g cm⁻³
Uncorrected energy: -7.208 eV per atom